Tb2AlV: relaxed, PBE.

Summary:
Distance to the lowest polymorph of the same formula in meV per atom: 0.0
Density of states at the Fermi level in states/eV/atom: 0.479
E_tot in eV/atom: -5.56
E_form in eV per formula unit: -0.1
M_tot in μB/f.u.: 3.35

abc: 5.1067 5.1067 5.1067
angles: 60.00 60.00 60.00
Closest atoms and distances in Å follow each position.
Sites, in units of the cell vectors:
1 Tb 0.7500 0.7500 0.7500  4 Al 3.13, 4 V 3.13
2 Tb 0.2500 0.2500 0.2500  4 V 3.13, 4 Al 3.13
3 Al 0.0000 0.0000 0.0000  8 Tb 3.13
4 V 0.5000 0.5000 0.5000  8 Tb 3.13